1.
## LiS2F8 (PBE)

Data for a relaxed LiS2F8 crystal.

Unit cell a=8.2853 b=6.9611 c=6.2716 alpha=90.00 beta=105.28 gamma=90.00
Closest atoms and distances in Å follow each position.
Space group C2/m (No. 12)
Inequivalent atoms, fractional coordinates:
Li (0.0000, 0.0000, 0.0000) (multiplicity 2)  4 F 1.94
S (0.1735, 0.0000, 0.6534) (multiplicity 4)  2 F 1.57-1.72
F (0.0945, 0.1752, 0.8247) (multiplicity 8)  1 S 1.85, 1 Li 1.94
F (0.1548, 0.5000, 0.1651) (multiplicity 4)  1 S 1.57
F (0.2140, 0.5000, 0.5416) (multiplicity 4)  1 S 1.72

Values from the calculation:
- formation energy without anion corrections (eV per atom) = -1.51

2.
## LiFeSb2Te (PBE)

Data for a relaxed LiFeSb2Te crystal.

Unit cell a=4.8864 b=4.8864 c=4.9769 alpha=90.00 beta=90.00 gamma=90.00
Closest atoms and distances in Å follow each position.
Space group P4/mmm (No. 123)
Inequivalent atoms, fractional coordinates:
Li (0.0000, 0.0000, 0.0000) (multiplicity 1)  4 Sb 2.44, 2 Te 2.49
Fe (0.5000, 0.5000, 0.5000) (multiplicity 1)  4 Te 3.46, 8 Sb 3.49
Sb (0.0000, 0.5000, 0.0000) (multiplicity 2)  2 Li 2.44
Te (0.0000, 0.0000, 0.5000) (multiplicity 1)  2 Li 2.49

Values from the calculation:
- formation energy without anion corrections (eV per atom) = 0.74

3.
## YSc2Fe (PBE)

Data for a relaxed YSc2Fe crystal.

Unit cell a=4.9276 b=4.9276 c=6.9875 alpha=90.00 beta=90.00 gamma=90.00
Closest atoms and distances in Å follow each position.
Space group I-4m2 (No. 119)
Inequivalent atoms, fractional coordinates:
Y (0.0000, 0.0000, 0.0000) (multiplicity 2)  4 Fe 3.02, 4 Sc 3.02
Sc (0.0000, 0.0000, 0.5000) (multiplicity 2)  4 Fe 3.02, 4 Sc 3.02
Sc (0.0000, 0.5000, 0.2500) (multiplicity 2)  4 Sc 3.02, 4 Y 3.02
Fe (0.0000, 0.5000, 0.7500) (multiplicity 2)  4 Sc 3.02, 4 Y 3.02

Values from the calculation:
- energy relative to the elements (meV/atom) = 244

4.
## NaTeS2Cl (PBE)

Data for a relaxed NaTeS2Cl crystal.

Unit cell a=5.0437 b=5.0437 c=4.7259 alpha=90.00 beta=90.00 gamma=90.00
Closest atoms and distances in Å follow each position.
Space group P4/mmm (No. 123)
Inequivalent atoms, fractional coordinates:
Na (0.0000, 0.0000, 0.0000) (multiplicity 1)  2 Cl 2.36, 4 S 2.52
Te (0.5000, 0.5000, 0.5000) (multiplicity 1)  8 S 3.46, 4 Cl 3.57
S (0.0000, 0.5000, 0.0000) (multiplicity 2)  2 Na 2.52
Cl (0.0000, 0.0000, 0.5000) (multiplicity 1)  2 Na 2.36

Values from the calculation:
- formation energy without anion corrections (eV per atom) = 0.50

Please write out number 1 again, unchanged.
## LiS2F8 (PBE)

Data for a relaxed LiS2F8 crystal.

Unit cell a=8.2853 b=6.9611 c=6.2716 alpha=90.00 beta=105.28 gamma=90.00
Closest atoms and distances in Å follow each position.
Space group C2/m (No. 12)
Inequivalent atoms, fractional coordinates:
Li (0.0000, 0.0000, 0.0000) (multiplicity 2)  4 F 1.94
S (0.1735, 0.0000, 0.6534) (multiplicity 4)  2 F 1.57-1.72
F (0.0945, 0.1752, 0.8247) (multiplicity 8)  1 S 1.85, 1 Li 1.94
F (0.1548, 0.5000, 0.1651) (multiplicity 4)  1 S 1.57
F (0.2140, 0.5000, 0.5416) (multiplicity 4)  1 S 1.72

Values from the calculation:
- formation energy without anion corrections (eV per atom) = -1.51

Repeat the first record exactly.
## LiS2F8 (PBE)

Data for a relaxed LiS2F8 crystal.

Unit cell a=8.2853 b=6.9611 c=6.2716 alpha=90.00 beta=105.28 gamma=90.00
Closest atoms and distances in Å follow each position.
Space group C2/m (No. 12)
Inequivalent atoms, fractional coordinates:
Li (0.0000, 0.0000, 0.0000) (multiplicity 2)  4 F 1.94
S (0.1735, 0.0000, 0.6534) (multiplicity 4)  2 F 1.57-1.72
F (0.0945, 0.1752, 0.8247) (multiplicity 8)  1 S 1.85, 1 Li 1.94
F (0.1548, 0.5000, 0.1651) (multiplicity 4)  1 S 1.57
F (0.2140, 0.5000, 0.5416) (multiplicity 4)  1 S 1.72

Values from the calculation:
- formation energy without anion corrections (eV per atom) = -1.51